VASP calculation (PBE-GGA) on a relaxed LiCu2Se crystal.

Unit cell a=4.865 b=4.865 c=4.865 alpha=135.39 beta=135.41 gamma=64.91
Fractional positions:
Li 0.750 0.250 0.500
Se 0.250 0.750 0.500
Cu 0.000 0.000 0.000
Cu 0.500 0.500 0.000

Properties
formation energy without anion corrections: -0.211 eV/atom
total magnetization: 0.00 μB per formula unit
space-group type: I4/mmm
total energy: -14.44 eV/cell


VASP calculation (PBE-GGA) on a relaxed Li2CuSe crystal.

Unit cell a=3.924 b=3.924 c=9.032 alpha=77.45 beta=77.45 gamma=90.00
Fractional positions:
Li 0.875 0.894 0.750
Cu 0.250 0.750 0.500
Li 0.644 0.125 0.250
Li 0.106 0.625 0.250
Cu 0.500 0.500 0.000
Se 0.750 0.250 0.500
Se 0.000 0.000 0.000
Li 0.375 0.356 0.750

Properties
formation energy without anion corrections: -0.243 eV/atom
total magnetization: 0.00 μB per formula unit
space-group type: I-42d
total energy: -24.76 eV/cell


VASP calculation (PBE-GGA) on a relaxed LiCu2Se crystal.

Unit cell a=3.725 b=3.722 c=3.977 alpha=90.00 beta=90.00 gamma=90.00
Fractional positions:
Se 0.000 0.500 0.500
Li 0.500 0.000 0.500
Cu 0.500 0.500 0.000
Cu 0.000 0.000 0.000

Properties
formation energy without anion corrections: -0.246 eV/atom
total magnetization: 0.00 μB per formula unit
space-group type: P4/mmm
total energy: -14.57 eV/cell


VASP calculation (PBE-GGA) on a relaxed LiCu4Se3 crystal.

Unit cell a=3.991 b=3.991 c=10.316 alpha=78.85 beta=78.85 gamma=60.00
Fractional positions:
Cu 0.913 0.913 0.261
Se 0.781 0.781 0.658
Li 0.500 0.500 0.500
Cu 0.299 0.299 0.103
Cu 0.701 0.701 0.897
Se 0.000 0.000 0.000
Cu 0.087 0.087 0.739
Se 0.219 0.219 0.342

Properties
formation energy without anion corrections: -0.315 eV/atom
total magnetization: 0.00 μB per formula unit
space-group type: R-3m
total energy: -31.27 eV/cell